Material: GdYEr2
Method: DFT, PBE
State: relaxed

Computed properties:
The energy above the most stable polymorph in this dataset comes out at 0.000 eV/atom. As for the density of states at the Fermi level: 6.91 states/eV per cell. The value obtained for the volume is 125.5 Å³/cell. The size of the total moment comes out at 7.1 μB/f.u. For the mass density, the calculation gives 7.68 g/cm3. The energy of formation from the pure elements comes out at 10 kJ/mol of formula units. As for the space group: No. 123.

```
GdYEr2
1.0
5.010 0.000 0.000
0.000 5.010 0.000
0.000 0.000 4.999
Gd Y Er
1 1 2
Direct
0.000 0.000 0.000
0.500 0.500 0.000
0.000 0.500 0.500
0.500 0.000 0.500
```